ZrAlIr2, optimized geometry, DFT PBE; space group = F-43m (216); DFT total energy = -7.8168 eV per atom; calculated volume = 16.44 Å³ per atom; magnetization = 0.2 μB/cell
1.0
0.0000 3.2038 3.2038
3.2038 0.0000 3.2038
3.2038 3.2038 0.0000
Zr Ir Al
1 2 1
Direct
0.2500 0.2500 0.2500
0.0000 0.0000 0.0000
0.7500 0.7500 0.7500
0.5000 0.5000 0.5000